A plane-wave DFT calculation with PBE was carried out for CsRbTl2Sb after structural relaxation.

Properties
Mass density   5.53 g/cm3
Calculated volume   45.0 Å³ per atom
Energy relative to the elements, uncorrected   -82 kJ/mol of formula units

a b c (Å): 6.3025 4.8647 8.3447
angles (deg): 106.95 112.19 90.00
Atoms (fractional coordinates):
Rb: 0.2102 0.7102 0.4204
Cs: 0.4543 0.4543 0.9086
Tl: 0.6919 0.1919 0.3839
Tl: 0.0282 0.0282 0.0564
Sb: 0.8275 0.8275 0.6550

A plane-wave DFT calculation with PBE was carried out for CsRb2TlSb2 after structural relaxation.

Properties
Mass density   3.43 g/cm3
Calculated volume   60.6 Å³ per atom
Energy relative to the elements, uncorrected   -143 kJ/mol of formula units

a b c (Å): 6.3270 6.3270 10.1261
angles (deg): 108.20 108.20 90.00
Atoms (fractional coordinates):
Sb: 0.1470 0.1470 0.2939
Sb: 0.8530 0.8530 0.7061
Tl: 0.0000 0.0000 0.0000
Rb: 0.7500 0.2500 0.5000
Rb: 0.2500 0.7500 0.5000
Cs: 0.5000 0.5000 0.0000

A plane-wave DFT calculation with PBE was carried out for CsRbTl2Sb2 after structural relaxation.

Properties
Mass density   5.38 g/cm3
Calculated volume   44.8 Å³ per atom
Energy relative to the elements, uncorrected   -123 kJ/mol of formula units

a b c (Å): 5.3263 5.3263 10.9387
angles (deg): 90.00 90.00 120.00
Atoms (fractional coordinates):
Rb: 0.0000 0.0000 0.5000
Sb: 0.3333 0.6667 0.2618
Sb: 0.6667 0.3333 0.7382
Tl: 0.6667 0.3333 0.2645
Tl: 0.3333 0.6667 0.7355
Cs: 0.0000 0.0000 0.0000

A plane-wave DFT calculation with PBE was carried out for CsRb2TlSb after structural relaxation.

Properties
Mass density   3.24 g/cm3
Calculated volume   64.7 Å³ per atom
Energy relative to the elements, uncorrected   -35 kJ/mol of formula units

a b c (Å): 7.2356 7.2356 6.1754
angles (deg): 90.00 90.00 90.00
Atoms (fractional coordinates):
Tl: 0.0000 0.0000 0.5000
Cs: 0.5000 0.5000 0.5000
Rb: 0.0000 0.5000 0.0000
Rb: 0.5000 0.0000 0.0000
Sb: 0.0000 0.0000 0.0000

A plane-wave DFT calculation with PBE was carried out for Cs4Rb2TlSb2 after structural relaxation.

Properties
Mass density   3.57 g/cm3
Calculated volume   59.4 Å³ per atom
Energy relative to the elements, uncorrected   -187 kJ/mol of formula units

a b c (Å): 5.8644 10.2703 10.2703
angles (deg): 66.72 73.64 73.64
Atoms (fractional coordinates):
Sb: 0.7139 0.7860 0.7860
Sb: 0.2861 0.2140 0.2140
Cs: 0.8588 0.9379 0.3407
Cs: 0.1412 0.0621 0.6593
Cs: 0.8588 0.3407 0.9379
Cs: 0.1412 0.6593 0.0621
Rb: 0.3539 0.6431 0.6431
Rb: 0.6461 0.3569 0.3569
Tl: 0.5000 0.0000 0.0000

A plane-wave DFT calculation with PBE was carried out for CsRbTl4Sb2 after structural relaxation.

Properties
Mass density   6.37 g/cm3
Calculated volume   41.7 Å³ per atom
Energy relative to the elements, uncorrected   -144 kJ/mol of formula units

a b c (Å): 5.0383 5.0383 13.1421
angles (deg): 90.00 90.00 90.00
Atoms (fractional coordinates):
Tl: 0.0000 0.5000 0.7691
Tl: 0.0000 0.5000 0.2309
Tl: 0.5000 0.0000 0.2309
Tl: 0.5000 0.0000 0.7691
Sb: 0.5000 0.5000 0.3807
Sb: 0.5000 0.5000 0.6193
Cs: 0.0000 0.0000 0.5000
Rb: 0.0000 0.0000 0.0000

A plane-wave DFT calculation with PBE was carried out for CsRb2Tl2Sb2 after structural relaxation.

Properties
Mass density   5.25 g/cm3
Calculated volume   43.2 Å³ per atom
Energy relative to the elements, uncorrected   -180 kJ/mol of formula units

a b c (Å): 5.0661 6.7878 10.2578
angles (deg): 110.69 90.00 111.91
Atoms (fractional coordinates):
Tl: 0.3569 0.7137 0.1452
Tl: 0.6431 0.2863 0.8548
Sb: 0.2554 0.5107 0.7865
Sb: 0.7446 0.4893 0.2135
Rb: 0.8928 0.7857 0.6113
Rb: 0.1072 0.2143 0.3887
Cs: 0.0000 0.0000 0.0000

A plane-wave DFT calculation with PBE was carried out for Cs2RbYSb after structural relaxation.

Properties
Mass density   3.24 g/cm3
Calculated volume   57.7 Å³ per atom
Energy relative to the elements, uncorrected   440 kJ/mol of formula units

a b c (Å): 6.6367 6.5457 6.6367
angles (deg): 90.00 90.00 90.00
Atoms (fractional coordinates):
Rb: 0.0000 0.0000 0.0000
Cs: 0.0000 0.0000 0.5000
Cs: 0.5000 0.0000 0.0000
Sb: 0.5000 0.5000 0.5000
Y: 0.0000 0.5000 0.0000

A plane-wave DFT calculation with PBE was carried out for Cs4Rb2ZnSb2 after structural relaxation.

Properties
Mass density   3.23 g/cm3
Calculated volume   57.8 Å³ per atom
Energy relative to the elements, uncorrected   -220 kJ/mol of formula units

a b c (Å): 6.0191 9.4708 9.4708
angles (deg): 78.17 82.19 82.19
Atoms (fractional coordinates):
Cs: 0.2091 0.6583 0.0814
Cs: 0.7909 0.9186 0.3417
Cs: 0.7909 0.3417 0.9186
Cs: 0.2091 0.0814 0.6583
Zn: 0.5000 0.0000 0.0000
Rb: 0.2673 0.6417 0.6417
Rb: 0.7327 0.3583 0.3583
Sb: 0.2918 0.1695 0.1695
Sb: 0.7082 0.8305 0.8305

A plane-wave DFT calculation with PBE was carried out for Cs2RbZnSb after structural relaxation.

Properties
Mass density   3.10 g/cm3
Calculated volume   57.6 Å³ per atom
Energy relative to the elements, uncorrected   -39 kJ/mol of formula units

a b c (Å): 7.3383 5.3524 7.3383
angles (deg): 90.00 90.00 90.00
Atoms (fractional coordinates):
Cs: 0.5000 0.0000 0.0000
Cs: 0.0000 0.0000 0.5000
Rb: 0.5000 0.5000 0.5000
Zn: 0.0000 0.0000 0.0000
Sb: 0.0000 0.5000 0.0000

A plane-wave DFT calculation with PBE was carried out for Cs2Rb4ZnSb2 after structural relaxation.

Properties
Mass density   3.27 g/cm3
Calculated volume   51.8 Å³ per atom
Energy relative to the elements, uncorrected   -205 kJ/mol of formula units

a b c (Å): 6.7216 9.3338 9.3338
angles (deg): 57.54 73.01 73.01
Atoms (fractional coordinates):
Rb: 0.2021 0.0948 0.6406
Rb: 0.2021 0.6406 0.0948
Rb: 0.7979 0.9052 0.3594
Rb: 0.7979 0.3594 0.9052
Cs: 0.7275 0.3598 0.3598
Cs: 0.2725 0.6402 0.6402
Sb: 0.2841 0.1632 0.1632
Sb: 0.7159 0.8368 0.8368
Zn: 0.5000 0.0000 0.0000

A plane-wave DFT calculation with PBE was carried out for CsRbZn2Sb2 after structural relaxation.

Properties
Mass density   4.53 g/cm3
Calculated volume   36.2 Å³ per atom
Energy relative to the elements, uncorrected   -227 kJ/mol of formula units

a b c (Å): 4.6171 4.6171 11.7810
angles (deg): 90.00 90.00 120.00
Atoms (fractional coordinates):
Zn: 0.6667 0.3333 0.7391
Zn: 0.3333 0.6667 0.2609
Cs: 0.0000 0.0000 0.0000
Sb: 0.3333 0.6667 0.7418
Sb: 0.6667 0.3333 0.2582
Rb: 0.0000 0.0000 0.5000

A plane-wave DFT calculation with PBE was carried out for Cs2RbZnSb2 after structural relaxation.

Properties
Mass density   4.04 g/cm3
Calculated volume   45.2 Å³ per atom
Energy relative to the elements, uncorrected   -183 kJ/mol of formula units

a b c (Å): 8.9696 7.5562 9.9238
angles (deg): 112.38 116.87 90.00
Atoms (fractional coordinates):
Rb: 0.0000 0.2500 0.0000
Rb: 0.0000 0.7500 0.0000
Zn: 0.5000 0.7500 0.0000
Zn: 0.5000 0.2500 0.0000
Cs: 0.5337 0.8278 0.6556
Cs: 0.1219 0.3278 0.6556
Cs: 0.8781 0.6722 0.3444
Cs: 0.4663 0.1722 0.3444
Sb: 0.4057 0.5820 0.1640
Sb: 0.5943 0.4180 0.8360
Sb: 0.7583 0.0820 0.1640
Sb: 0.2417 0.9180 0.8360

A plane-wave DFT calculation with PBE was carried out for CsRbSc2 after structural relaxation.

Properties
Mass density   3.33 g/cm3
Calculated volume   38.4 Å³ per atom
Offset from the most stable computed form   0.00 eV/f.u.
Formation energy from the elements   0.8251 eV per atom

a b c (Å): 14.2109 14.2109 14.2109
angles (deg): 14.36 14.36 14.36
Atoms (fractional coordinates):
Rb: 0.5000 0.5000 0.5000
Sc: 0.0833 0.0833 0.0833
Sc: 0.9167 0.9167 0.9167
Cs: 0.0000 0.0000 0.0000

A plane-wave DFT calculation with PBE was carried out for CsRbSc3 after structural relaxation.

Properties
Mass density   3.20 g/cm3
Calculated volume   36.6 Å³ per atom
Offset from the most stable computed form   0.00 eV/f.u.
Formation energy from the elements   1.4417 eV per atom

a b c (Å): 5.6785 5.6785 5.6785
angles (deg): 90.00 90.00 90.00
Atoms (fractional coordinates):
Sc: 0.0000 0.0000 0.5000
Sc: 0.5000 0.0000 0.0000
Sc: 0.0000 0.5000 0.0000
Cs: 0.0000 0.0000 0.0000
Rb: 0.5000 0.5000 0.5000

A plane-wave DFT calculation with PBE was carried out for CsRb2Sc2 after structural relaxation.

Properties
Mass density   2.54 g/cm3
Calculated volume   51.6 Å³ per atom
Formation energy from the elements   0.7657 eV per atom

a b c (Å): 11.8522 11.8522 3.6721
angles (deg): 90.00 90.00 90.00
Atoms (fractional coordinates):
Rb: 0.3028 0.1972 0.5000
Rb: 0.1972 0.6972 0.5000
Rb: 0.6972 0.8028 0.5000
Rb: 0.8028 0.3028 0.5000
Sc: 0.4156 0.9156 0.0000
Sc: 0.5844 0.0844 0.0000
Sc: 0.9156 0.5844 0.0000
Sc: 0.0844 0.4156 0.0000
Cs: 0.0000 0.0000 0.0000
Cs: 0.5000 0.5000 0.0000

A plane-wave DFT calculation with PBE was carried out for CsRbSc3 after structural relaxation.

Properties
Mass density   2.99 g/cm3
Calculated volume   39.2 Å³ per atom
Offset from the most stable computed form   0.55 eV/f.u.
Formation energy from the elements   1.5521 eV per atom

a b c (Å): 5.8088 5.8088 5.8088
angles (deg): 90.00 90.00 90.00
Atoms (fractional coordinates):
Sc: 0.0000 0.0000 0.5000
Sc: 0.5000 0.0000 0.0000
Sc: 0.0000 0.5000 0.0000
Cs: 0.5000 0.5000 0.5000
Rb: 0.0000 0.0000 0.0000

A plane-wave DFT calculation with PBE was carried out for CsRbSc2 after structural relaxation.

Properties
Mass density   2.48 g/cm3
Calculated volume   51.6 Å³ per atom
Offset from the most stable computed form   1.05 eV/f.u.
Formation energy from the elements   1.0872 eV per atom

a b c (Å): 7.7956 7.7956 7.7956
angles (deg): 43.84 43.84 43.84
Atoms (fractional coordinates):
Cs: 0.5000 0.5000 0.5000
Sc: 0.1900 0.1900 0.1900
Sc: 0.8100 0.8100 0.8100
Rb: 0.0000 0.0000 0.0000

A plane-wave DFT calculation with PBE was carried out for Cs5Rb4Se after structural relaxation.

Properties
Mass density   2.02 g/cm3
Calculated volume   89.3 Å³ per atom
Energy relative to the elements, uncorrected   -294 kJ/mol of formula units

a b c (Å): 7.2118 11.6997 11.6997
angles (deg): 84.55 72.05 72.05
Atoms (fractional coordinates):
Cs: 0.1553 0.0000 0.6875
Cs: 0.8428 0.3125 0.0000
Cs: 0.4990 0.0000 0.0000
Cs: 0.8428 0.0000 0.3125
Cs: 0.1553 0.6875 0.0000
Rb: 0.4989 0.3445 0.6555
Rb: 0.8434 0.6555 0.6555
Rb: 0.4989 0.6555 0.3445
Rb: 0.1543 0.3445 0.3445
Se: 0.9990 0.0000 0.0000

A plane-wave DFT calculation with PBE was carried out for Cs4Rb7Se after structural relaxation.

Properties
Mass density   1.88 g/cm3
Calculated volume   88.7 Å³ per atom
Energy relative to the elements, uncorrected   -276 kJ/mol of formula units

a b c (Å): 9.1011 9.1011 18.9109
angles (deg): 77.19 77.19 44.45
Atoms (fractional coordinates):
Rb: 0.5000 0.5000 0.0000
Rb: 0.8680 0.8680 0.4573
Rb: 0.4087 0.4087 0.6324
Rb: 0.1991 0.1991 0.9182
Rb: 0.8009 0.8009 0.0818
Rb: 0.1320 0.1320 0.5427
Rb: 0.5913 0.5913 0.3676
Cs: 0.6837 0.6837 0.7181
Cs: 0.0545 0.0545 0.1656
Cs: 0.9455 0.9455 0.8344
Cs: 0.3163 0.3163 0.2819
Se: 0.0000 0.0000 0.0000